A plane-wave DFT calculation with PBE was carried out for a relaxed structure of Ti4CO2.

- Magnetization: 0.0 μB per cell
- Formation energy from raw total energies: -1.671 eV per atom
- Polymorph energy (0 for the lowest one): 0 meV/atom

Structure (CIF):
```
data_Ti4CO2
_chemical_formula_sum 'Ti8 C2 O4'
_symmetry_space_group_name_H-M 'P 1'
_symmetry_Int_Tables_number 1
_cell_length_a 5.8736
_cell_length_b 5.8736
_cell_length_c 5.9918
_cell_angle_alpha 104.21
_cell_angle_beta 104.21
_cell_angle_gamma 119.94
loop_
_symmetry_equiv_pos_as_xyz
'x,y,z'
loop_
_atom_site_label
_atom_site_type_symbol
_atom_site_fract_x
_atom_site_fract_y
_atom_site_fract_z
C1 C 0.7507 0.2507 0.5000
C2 C 0.5007 0.5007 0.0000
O1 O 0.4865 0.5092 0.4983
O2 O 0.0109 0.9882 0.5017
O3 O 0.2382 0.7609 0.0017
O4 O 0.7592 0.2365 0.9983
Ti1 Ti 0.5370 0.7812 0.8281
Ti2 Ti 0.0312 0.2870 0.3281
Ti3 Ti 0.0384 0.2837 0.8171
Ti4 Ti 0.5337 0.7884 0.3171
Ti5 Ti 0.4714 0.2167 0.6829
Ti6 Ti 0.9532 0.7090 0.1719
Ti7 Ti 0.9590 0.7032 0.6719
Ti8 Ti 0.4667 0.2214 0.1829
```